# 1
PBE+U Rb5Fe2O6, relaxed; V = 22.38 A^3/atom; crystal system = monoclinic; final energy = -4.8844 eV/atom
1.0
5.519 -3.628 0.000
5.519 3.628 0.000
-2.540 0.000 14.529
Rb Fe O
10 4 12
Cartesian
3.614 2.801 10.897 Rb
4.902 1.953 0.056 Rb
3.096 0.544 4.178 Rb
4.866 1.953 7.209 Rb
1.826 -0.544 11.442 Rb
6.673 0.544 3.087 Rb
3.632 -1.953 7.320 Rb
5.403 -0.544 10.351 Rb
3.596 -1.953 14.473 Rb
4.884 -2.801 3.632 Rb
1.573 0.947 8.334 Fe
2.843 -0.947 1.069 Fe
5.655 0.947 13.460 Fe
6.925 -0.947 6.195 Fe
0.134 0.373 9.318 O
1.274 0.731 6.430 O
1.404 -0.373 2.053 O
0.004 -0.731 13.694 O
3.125 0.337 9.060 O
4.395 -0.337 1.796 O
4.104 0.337 12.733 O
5.374 -0.337 5.469 O
8.495 0.731 0.835 O
7.094 0.373 12.476 O
7.225 -0.731 8.099 O
8.364 -0.373 5.211 O

# 2
PBE+U RbFeO, relaxed; V = 29.37 A^3/atom; crystal system = monoclinic; final energy = -4.6730 eV/atom
1.0
10.583 0.000 0.000
0.000 5.873 0.000
-1.643 0.000 5.670
Rb Fe O
4 4 4
Cartesian
1.672 0.145 1.741 Rb
0.851 2.792 4.576 Rb
8.089 3.081 1.094 Rb
7.268 5.728 3.929 Rb
3.866 0.837 4.463 Fe
4.687 2.100 1.627 Fe
4.253 3.773 4.043 Fe
5.075 5.036 1.208 Fe
4.113 0.698 0.427 O
3.292 2.238 3.263 O
5.648 3.635 2.408 O
4.827 5.174 5.243 O